1.
DFT (GGA-PBE) results for crystalline LaHo2Hf at its relaxed geometry.

Lattice parameters (Å, degrees): 4.8697 4.8697 4.9461 90.00 90.00 90.00
With the nearest neighbours (Å) after each atom.
Space group P4/mmm (No. 123)
Symmetry-distinct sites (fractional):
La 0.0000 0.0000 0.0000 (multiplicity 1)  4 Hf 3.44, 8 Ho 3.47
Ho 0.0000 0.5000 0.5000 (multiplicity 2)  4 Ho 3.44, 4 Hf 3.47, 4 La 3.47
Hf 0.5000 0.5000 0.0000 (multiplicity 1)  4 La 3.44, 8 Ho 3.47

Offset from the most stable computed form ... 45 meV/atom
Fermi-level density of states ... 5.44 states/eV per cell



2.
DFT (GGA-PBE) results for crystalline LaHo2Hf at its relaxed geometry.

Lattice parameters (Å, degrees): 3.9665 3.9665 7.6954 90.00 90.00 90.00
With the nearest neighbours (Å) after each atom.
Space group P4/mmm (No. 123)
Symmetry-distinct sites (fractional):
La 0.0000 0.0000 0.0000 (multiplicity 1)  8 Ho 3.58, 2 Hf 3.85, 4 La 3.97
Ho 0.5000 0.5000 0.2896 (multiplicity 2)  4 Hf 3.24, 1 Ho 3.24, 4 La 3.58
Hf 0.0000 0.0000 0.5000 (multiplicity 1)  8 Ho 3.24

Offset from the most stable computed form ... 98 meV/atom
Fermi-level density of states ... 8.83 states/eV per cell



3.
DFT (GGA-PBE) results for crystalline LaHoHfN3 at its relaxed geometry.

Lattice parameters (Å, degrees): 6.6765 3.4086 9.7367 90.00 93.66 90.00
With the nearest neighbours (Å) after each atom.
Space group P2_1/m (No. 11)
Symmetry-distinct sites (fractional):
La 0.1746 0.2500 0.2209 (multiplicity 2)  4 N 2.45-2.72
Ho 0.3548 0.7500 0.8812 (multiplicity 2)  5 N 2.25-2.48
Hf 0.1718 0.2500 0.5782 (multiplicity 2)  4 N 2.07-2.14
N 0.1427 0.2500 0.7889 (multiplicity 2)  1 Hf 2.07
N 0.1493 0.7500 0.4513 (multiplicity 2)  3 Hf 2.10-2.14
N 0.3757 0.7500 0.1130 (multiplicity 2)  3 Ho 2.25-2.48, 2 La 2.45

Formation energy from raw total energies ... -7.937 eV/f.u.
Fermi-level density of states ... 4.11 states/eV per cell



4.
DFT (GGA-PBE) results for crystalline La2HoHfP4 at its relaxed geometry.

Lattice parameters (Å, degrees): 6.9775 4.0229 7.0380 90.00 109.13 90.00
With the nearest neighbours (Å) after each atom.
Space group P2/m (No. 10)
Symmetry-distinct sites (fractional):
La 0.0000 0.0000 0.0000 (multiplicity 1)  6 P 3.00-3.01
La 0.5000 0.5000 0.0000 (multiplicity 1)  6 P 2.92
Ho 0.0000 0.5000 0.5000 (multiplicity 1)  6 P 2.80
Hf 0.5000 0.0000 0.5000 (multiplicity 1)  6 P 2.70-2.72
P 0.2528 0.0000 0.7264 (multiplicity 2)  1 Hf 2.70, 2 Ho 2.80, 3 La 2.92-3.01
P 0.2691 0.5000 0.2791 (multiplicity 2)  2 Hf 2.72, 1 Ho 2.80, 3 La 2.92-3.00

Total DFT energy (no corrections) ... -58.0 eV per cell
Fermi-level density of states ... 1.34 states/eV per cell



5.
DFT (GGA-PBE) results for crystalline LaHoHfTh at its relaxed geometry.

Lattice parameters (Å, degrees): 7.8014 7.8014 7.8014 90.00 90.00 90.00
With the nearest neighbours (Å) after each atom.
Space group F-43m (No. 216)
Symmetry-distinct sites (fractional):
La 0.0000 0.0000 0.0000 (multiplicity 4)  4 Ho 3.38, 4 Hf 3.38
Ho 0.2500 0.2500 0.2500 (multiplicity 4)  4 La 3.38, 4 Th 3.38
Hf 0.2500 0.2500 0.7500 (multiplicity 4)  4 La 3.38, 4 Th 3.38
Th 0.0000 0.0000 0.5000 (multiplicity 4)  4 Hf 3.38, 4 Ho 3.38

Total DFT energy (no corrections) ... -104.3 eV per cell
Fermi-level density of states ... 18.07 states/eV per cell



6.
DFT (GGA-PBE) results for crystalline LiHoHf2N4 at its relaxed geometry.

Lattice parameters (Å, degrees): 3.2294 10.5874 10.9438 90.00 90.00 90.00
With the nearest neighbours (Å) after each atom.
Space group Cmcm (No. 63)
Symmetry-distinct sites (fractional):
Li 0.0000 0.1562 0.2500 (multiplicity 4)  4 N 1.89-1.96
Ho 0.0000 0.1075 0.7500 (multiplicity 4)  6 N 2.33-2.59
Hf 0.0000 0.3667 0.5587 (multiplicity 8)  6 N 2.17-2.26
N 0.0000 0.0000 0.0000 (multiplicity 4)  4 Hf 2.24
N 0.0000 0.2644 0.1129 (multiplicity 8)  1 Li 1.89
N 0.0000 0.4483 0.7500 (multiplicity 4)  2 Li 1.96

Formation energy from raw total energies ... -12.550 eV/f.u.
Fermi-level density of states ... 0.41 states/eV per cell



7.
DFT (GGA-PBE) results for crystalline LiHoHfOs at its relaxed geometry.

Lattice parameters (Å, degrees): 6.7029 6.7029 6.7029 90.00 90.00 90.00
With the nearest neighbours (Å) after each atom.
Space group F-43m (No. 216)
Symmetry-distinct sites (fractional):
Li 0.0000 0.0000 0.0000 (multiplicity 4)  4 Ho 2.90, 4 Hf 2.90
Ho 0.2500 0.2500 0.2500 (multiplicity 4)  4 Li 2.90, 4 Os 2.90
Hf 0.2500 0.2500 0.7500 (multiplicity 4)  4 Li 2.90, 4 Os 2.90
Os 0.0000 0.0000 0.5000 (multiplicity 4)  4 Hf 2.90, 4 Ho 2.90

Total DFT energy (no corrections) ... -115.2 eV per cell
Fermi-level density of states ... 12.09 states/eV per cell



8.
DFT (GGA-PBE) results for crystalline LiHoHfRe at its relaxed geometry.

Lattice parameters (Å, degrees): 6.7287 6.7287 6.7287 90.00 90.00 90.00
With the nearest neighbours (Å) after each atom.
Space group F-43m (No. 216)
Symmetry-distinct sites (fractional):
Li 0.0000 0.0000 0.0000 (multiplicity 4)  4 Hf 2.91, 4 Ho 2.91
Ho 0.2500 0.2500 0.7500 (multiplicity 4)  4 Li 2.91, 4 Re 2.91
Hf 0.2500 0.2500 0.2500 (multiplicity 4)  4 Li 2.91, 4 Re 2.91
Re 0.0000 0.0000 0.5000 (multiplicity 4)  4 Hf 2.91, 4 Ho 2.91

Total DFT energy (no corrections) ... -116.4 eV per cell
Fermi-level density of states ... 8.53 states/eV per cell



9.
DFT (GGA-PBE) results for crystalline LiHoHfRu at its relaxed geometry.

Lattice parameters (Å, degrees): 6.7078 6.7078 6.7078 90.00 90.00 90.00
With the nearest neighbours (Å) after each atom.
Space group F-43m (No. 216)
Symmetry-distinct sites (fractional):
Li 0.0000 0.0000 0.0000 (multiplicity 4)  4 Hf 2.90, 4 Ho 2.90
Ho 0.2500 0.2500 0.2500 (multiplicity 4)  4 Li 2.90, 4 Ru 2.90
Hf 0.2500 0.2500 0.7500 (multiplicity 4)  4 Li 2.90, 4 Ru 2.90
Ru 0.0000 0.0000 0.5000 (multiplicity 4)  4 Ho 2.90, 4 Hf 2.90

Total DFT energy (no corrections) ... -107.4 eV per cell
Fermi-level density of states ... 11.89 states/eV per cell



10.
DFT (GGA-PBE) results for crystalline LiHoHfS4 at its relaxed geometry.

Lattice parameters (Å, degrees): 7.5080 7.8550 10.9317 90.00 90.00 90.00
With the nearest neighbours (Å) after each atom.
Space group Imma (No. 74)
Symmetry-distinct sites (fractional):
Li 0.0000 0.2500 0.1219 (multiplicity 4)  4 S 2.44-2.57
Ho 0.0000 0.0000 0.5000 (multiplicity 4)  6 S 2.71-2.74
Hf 0.2500 0.2500 0.7500 (multiplicity 4)  6 S 2.54-2.58
S 0.0000 0.0244 0.7498 (multiplicity 8)  1 Li 2.57, 2 Hf 2.58, 1 Ho 2.74
S 0.2466 0.2500 0.5174 (multiplicity 8)  1 Li 2.44, 1 Hf 2.54, 2 Ho 2.71

Formation energy from raw total energies ... -12.188 eV/f.u.
Fermi-level density of states ... 0.00 states/eV per cell



11.
DFT (GGA-PBE) results for crystalline Li3Ho2HfS6 at its relaxed geometry.

Lattice parameters (Å, degrees): 6.5572 11.3594 6.5517 90.00 109.48 90.00
With the nearest neighbours (Å) after each atom.
Space group C2/m (No. 12)
Symmetry-distinct sites (fractional):
Li 0.0000 0.0000 0.0000 (multiplicity 2)  6 S 2.63-2.76
Li 0.0000 0.3373 0.0000 (multiplicity 4)  6 S 2.61-2.79
Ho 0.0000 0.1672 0.5000 (multiplicity 4)  6 S 2.71-2.72
Hf 0.0000 0.5000 0.5000 (multiplicity 2)  6 S 2.59-2.60
S 0.2359 0.5000 0.2524 (multiplicity 4)  1 Hf 2.59, 3 Li 2.61-2.76, 2 Ho 2.71
S 0.2427 0.3411 0.7508 (multiplicity 8)  1 Hf 2.60, 3 Li 2.63-2.79, 2 Ho 2.72

Formation energy from raw total energies ... -20.588 eV/f.u.
Fermi-level density of states ... 7.31 states/eV per cell



12.
DFT (GGA-PBE) results for crystalline Li2HoHfS4 at its relaxed geometry.

Lattice parameters (Å, degrees): 6.4910 3.7176 6.5470 90.00 109.11 90.00
With the nearest neighbours (Å) after each atom.
Space group P2/m (No. 10)
Symmetry-distinct sites (fractional):
Li 0.0000 0.0000 0.0000 (multiplicity 1)  6 S 2.70-2.72
Li 0.5000 0.5000 0.0000 (multiplicity 1)  6 S 2.61
Ho 0.0000 0.5000 0.5000 (multiplicity 1)  6 S 2.70-2.71
Hf 0.5000 0.0000 0.5000 (multiplicity 1)  6 S 2.59-2.61
S 0.2632 0.5000 0.2536 (multiplicity 2)  3 Li 2.61-2.70, 2 Hf 2.61, 1 Ho 2.71
S 0.2646 0.0000 0.7525 (multiplicity 2)  1 Hf 2.59, 3 Li 2.61-2.72, 2 Ho 2.70

Formation energy from raw total energies ... -13.223 eV/f.u.
Fermi-level density of states ... 2.41 states/eV per cell



> Number 5 is which compound?

LaHoHfTh



> Which formula does entry 5 have?

LaHoHfTh



> Which value of Fermi-level density of states does entry 10 give?

0.00 states/eV per cell